No. 1
DFT (PBE-GGA) results for an optimized crystal structure of KCaW2.

Structure (POSCAR):
```
KCaW2
1.0
-1.940 1.940 5.625
1.940 -1.940 5.625
1.940 1.940 -5.625
K Ca W
1 1 2
Direct
0.000 0.000 0.000
0.500 0.500 0.000
0.250 0.750 0.500
0.750 0.250 0.500
```

Properties
The formation energy from the elements comes out at 1.423 eV per atom. The value obtained for the total moment is 0.00 μB/cell. The density of states at the Fermi level comes out at 2.90 states/eV/f.u.

---

No. 2
DFT (PBE-GGA) results for an optimized crystal structure of KCa2W.

Structure (POSCAR):
```
KCa2W
1.0
4.052 0.000 0.000
0.000 4.052 0.000
0.000 0.000 9.194
K Ca W
1 2 1
Direct
0.000 0.000 0.000
0.000 0.000 0.394
0.500 0.500 0.632
0.500 0.500 0.282
```

Properties
The formation energy from the elements comes out at 1.168 eV per atom. The value obtained for the total moment is 3.01 μB/cell. The density of states at the Fermi level comes out at 2.97 states/eV/f.u.

---

No. 3
DFT (PBE-GGA) results for an optimized crystal structure of KCa2W.

Structure (POSCAR):
```
KCa2W
1.0
1.689 0.975 12.503
-1.689 0.975 12.503
0.000 -1.950 12.503
K Ca W
1 2 1
Direct
0.000 0.000 0.000
0.231 0.231 0.231
0.769 0.769 0.769
0.500 0.500 0.500
```

Properties
The formation energy from the elements comes out at 0.912 eV per atom. The value obtained for the total moment is 0.00 μB/cell. The density of states at the Fermi level comes out at 1.46 states/eV/f.u.

---

No. 4
DFT (PBE-GGA) results for an optimized crystal structure of KCa2W.

Structure (POSCAR):
```
KCa2W
1.0
5.913 0.000 0.000
0.000 5.913 0.000
0.000 0.000 3.259
K Ca W
1 2 1
Direct
0.000 0.000 0.000
0.000 0.500 0.500
0.500 0.000 0.500
0.500 0.500 0.000
```

Properties
The formation energy from the elements comes out at 1.197 eV per atom. The value obtained for the total moment is 0.49 μB/cell. The density of states at the Fermi level comes out at 5.44 states/eV/f.u.